## Ba2PuMgSe5 (PBE)

Data for a relaxed structure of Ba2PuMgSe5. Values from VASP.

Structure (Quantum ESPRESSO input):
```
&SYSTEM
  ibrav = 0, nat = 18, ntyp = 4
/
ATOMIC_SPECIES
Ba 137.33 Ba.upf
Pu 244.00 Pu.upf
Mg 24.30 Mg.upf
Se 78.96 Se.upf
CELL_PARAMETERS angstrom
-3.901 1.986 -0.312
0.527 -5.087 -8.110
-5.799 -10.421 6.159
ATOMIC_POSITIONS crystal
Ba 0.873 0.746 0.813
Ba 0.109 0.217 0.686
Ba 0.127 0.254 0.313
Ba 0.891 0.783 0.186
Pu 0.792 0.584 0.517
Pu 0.208 0.416 0.017
Mg 0.553 0.107 0.948
Mg 0.447 0.893 0.448
Se 0.357 0.714 0.003
Se 0.692 0.384 0.878
Se 0.498 0.995 0.777
Se 0.287 0.574 0.654
Se 0.942 0.885 0.550
Se 0.643 0.286 0.503
Se 0.308 0.616 0.378
Se 0.502 0.005 0.277
Se 0.713 0.426 0.154
Se 0.058 0.115 0.050
```

## Properties
As for the electronic total energy: -103.26 eV per cell. The uncorrected formation energy is -1603.9 meV/atom. For the density of states at the Fermi level, the calculation gives 22.9 states/eV/cell. The calculation puts the total moment at 4.000 μB/f.u.